# 1
The following is a DFT calculation (PBE-GGA) of Ca2PaBi4Pb after structural relaxation.

abc: 8.0055 4.5652 8.0394
angles: 90.00 109.56 90.00
With the nearest neighbours (Å) after each atom.
Element x y z (fractional)
Ca 0.0000 0.0000 0.0000  6 Bi 3.23-3.25
Ca 0.5000 0.5000 0.0000  6 Bi 3.35-3.41
Pa 0.0000 0.5000 0.5000  6 Bi 3.15-3.16
Bi 0.2335 0.0000 0.7375  2 Pa 3.16, 3 Ca 3.25-3.35, 1 Pb 3.31
Bi 0.2357 0.5000 0.2559  1 Pa 3.15, 3 Ca 3.23-3.41, 2 Pb 3.28
Bi 0.7643 0.5000 0.7441  1 Pa 3.15, 3 Ca 3.23-3.41, 2 Pb 3.28
Bi 0.7665 0.0000 0.2625  2 Pa 3.16, 3 Ca 3.25-3.35, 1 Pb 3.31
Pb 0.5000 0.0000 0.5000  6 Bi 3.28-3.31

Results
**V**: 277 Å³ per cell
**DFT formation energy**: -359 meV/atom

# 2
The following is a DFT calculation (PBE-GGA) of Na2YZnGa after structural relaxation.

abc: 5.2248 5.2248 4.7476
angles: 90.00 90.00 90.00
With the nearest neighbours (Å) after each atom.
Element x y z (fractional)
Na 0.0000 0.5000 0.0000  2 Zn 2.61
Na 0.5000 0.0000 0.0000  2 Zn 2.61
Y 0.0000 0.0000 0.5000  8 Na 3.53, 4 Ga 3.69
Zn 0.5000 0.5000 0.0000  2 Ga 2.37, 4 Na 2.61
Ga 0.5000 0.5000 0.5000  2 Zn 2.37

Results
**V**: 130 Å³ per cell
**DFT formation energy**: 289 meV/atom

# 3
The following is a DFT calculation (PBE-GGA) of Mg2In2Cu3 after structural relaxation.

abc: 7.0591 7.0591 7.0591
angles: 109.47 109.47 109.47
With the nearest neighbours (Å) after each atom.
Element x y z (fractional)
Mg 0.0000 0.0037 0.5000  3 Cu 2.63, 1 In 2.77
Mg 0.0037 0.5000 0.0000  3 Cu 2.63, 1 In 2.77
Mg 0.4963 0.4963 0.4963  3 Cu 2.63, 1 In 2.77
Mg 0.5000 0.0000 0.0037  3 Cu 2.63, 1 In 2.77
In 0.0000 0.6115 0.5000  3 Cu 2.66, 1 Mg 2.77
In 0.5000 0.0000 0.6115  3 Cu 2.66, 1 Mg 2.77
In 0.6115 0.5000 0.0000  3 Cu 2.66, 1 Mg 2.77
In 0.8885 0.8885 0.8885  3 Cu 2.66, 1 Mg 2.77
Cu 0.0421 0.2500 0.2921  2 Mg 2.63, 2 In 2.66, 4 Cu 2.67
Cu 0.2079 0.4579 0.7500  2 Mg 2.63, 2 In 2.66, 4 Cu 2.67
Cu 0.2500 0.2921 0.0421  2 Mg 2.63, 2 In 2.66, 4 Cu 2.67
Cu 0.2921 0.0421 0.2500  2 Mg 2.63, 2 In 2.66, 4 Cu 2.67
Cu 0.4579 0.7500 0.2079  2 Mg 2.63, 2 In 2.66, 4 Cu 2.67
Cu 0.7500 0.2079 0.4579  2 Mg 2.63, 2 In 2.66, 4 Cu 2.67

Results
**V**: 271 Å³ per cell
**DFT formation energy**: 56 meV/atom

# 4
The following is a DFT calculation (PBE-GGA) of Mg3Ag2Pd after structural relaxation.

abc: 4.6354 4.6354 11.3884
angles: 90.00 90.00 120.00
With the nearest neighbours (Å) after each atom.
Element x y z (fractional)
Mg 0.0000 0.0000 0.2437  5 Ag 2.78-2.92, 3 Pd 2.82
Mg 0.0000 0.0000 0.7563  5 Ag 2.78-2.92, 3 Pd 2.82
Mg 0.3333 0.6667 0.4104  1 Pd 2.79, 7 Ag 2.82-2.94
Mg 0.3333 0.6667 0.9177  4 Pd 2.82-2.84, 4 Ag 2.84
Mg 0.6667 0.3333 0.0823  4 Pd 2.82-2.84, 4 Ag 2.84
Mg 0.6667 0.3333 0.5896  1 Pd 2.79, 7 Ag 2.82-2.94
Ag 0.0000 0.0000 0.0000  8 Mg 2.78-2.84
Ag 0.0000 0.0000 0.5000  8 Mg 2.86-2.92
Ag 0.3333 0.6667 0.6685  8 Mg 2.82-2.94
Ag 0.6667 0.3333 0.3315  8 Mg 2.82-2.94
Pd 0.3333 0.6667 0.1650  8 Mg 2.79-2.84
Pd 0.6667 0.3333 0.8350  8 Mg 2.79-2.84

Results
**V**: 212 Å³ per cell
**DFT formation energy**: -401 meV/atom
**ΔE to the lowest computed polymorph**: 6.4 meV per atom

# 5
The following is a DFT calculation (PBE-GGA) of TbYBr6 after structural relaxation.

abc: 7.5066 7.5066 6.9745
angles: 97.90 97.90 124.63
With the nearest neighbours (Å) after each atom.
Element x y z (fractional)
Tb 0.0000 0.0000 0.0000  6 Br 2.81-2.83
Y 0.5000 0.5000 0.5000  6 Br 2.80-2.82
Br 0.1057 0.3955 0.2509  1 Y 2.82, 1 Tb 2.83
Br 0.2507 0.2507 0.7503  1 Y 2.80, 1 Tb 2.81
Br 0.3955 0.1057 0.2509  1 Y 2.82, 1 Tb 2.83
Br 0.6045 0.8943 0.7491  1 Y 2.82, 1 Tb 2.83
Br 0.7493 0.7493 0.2497  1 Y 2.80, 1 Tb 2.81
Br 0.8943 0.6045 0.7491  1 Y 2.82, 1 Tb 2.83

Results
**V**: 309 Å³ per cell
**ΔE to the lowest computed polymorph**: 0.0 meV per atom
**Raw formation energy**: -1.84 eV per atom

# 6
The following is a DFT calculation (PBE-GGA) of TbPmEuY after structural relaxation.

abc: 5.7992 5.7992 5.7992
angles: 60.00 60.00 60.00
With the nearest neighbours (Å) after each atom.
Element x y z (fractional)
Tb 0.0000 0.0000 0.0000  4 Eu 3.55, 4 Pm 3.55
Pm 0.7500 0.7500 0.7500  4 Tb 3.55, 4 Y 3.55
Eu 0.2500 0.2500 0.2500  4 Y 3.55, 4 Tb 3.55
Y 0.5000 0.5000 0.5000  4 Pm 3.55, 4 Eu 3.55

Results
**V**: 138 Å³ per cell
**DFT formation energy**: 152 meV/atom

# 7
The following is a DFT calculation (PBE-GGA) of SmBe2Au10 after structural relaxation.

abc: 9.3386 7.4787 6.8023
angles: 81.53 52.38 46.09
With the nearest neighbours (Å) after each atom.
Element x y z (fractional)
Sm 0.0000 0.0000 0.0000  8 Au 3.05-3.40
Be 0.0000 0.5000 0.0000  8 Au 2.54-2.60, 2 Be 2.74
Be 0.5000 0.0000 0.5000  8 Au 2.54-2.60, 2 Be 2.74
Au 0.0000 0.0000 0.5000  10 Au 2.74-3.05
Au 0.0249 0.3226 0.6774  2 Be 2.54
Au 0.2657 0.4847 0.5153  2 Be 2.60, 6 Au 2.73-2.86
Au 0.3226 0.0249 0.9751  2 Be 2.54
Au 0.4847 0.2657 0.7343  2 Be 2.60, 6 Au 2.73-2.86
Au 0.5000 0.5000 0.0000  10 Au 2.74-3.05
Au 0.5153 0.7343 0.2657  2 Be 2.60, 6 Au 2.73-2.86
Au 0.6774 0.9751 0.0249  2 Be 2.54
Au 0.7343 0.5153 0.4847  2 Be 2.60, 6 Au 2.73-2.86
Au 0.9751 0.6774 0.3226  2 Be 2.54

Results
**V**: 237 Å³ per cell
**DFT formation energy**: -241 meV/atom

# 8
The following is a DFT calculation (PBE-GGA) of LiTiGa2 after structural relaxation.

abc: 4.7555 4.7555 2.8273
angles: 90.00 90.00 101.81
With the nearest neighbours (Å) after each atom.
Element x y z (fractional)
Li 0.0000 0.0000 0.0000  8 Ga 2.77, 2 Li 2.83, 2 Ti 3.00
Ti 0.5000 0.5000 0.0000  8 Ga 2.77, 2 Ti 2.83, 2 Li 3.00
Ga 0.0000 0.5000 0.5000  4 Li 2.77, 4 Ti 2.77, 4 Ga 2.83-3.00
Ga 0.5000 0.0000 0.5000  4 Li 2.77, 4 Ti 2.77, 4 Ga 2.83-3.00

Results
**V**: 63 Å³ per cell
**DFT formation energy**: -390 meV/atom
**ΔE to the lowest computed polymorph**: 6.2 meV per atom

# 9
The following is a DFT calculation (PBE-GGA) of TbScCo after structural relaxation.

abc: 6.4492 5.7278 9.3431
angles: 90.00 127.89 90.00
With the nearest neighbours (Å) after each atom.
Element x y z (fractional)
Tb 0.1811 0.1294 0.3893  3 Co 2.70-2.96
Tb 0.1811 0.3706 0.8893  3 Co 2.70-2.96
Tb 0.8189 0.6294 0.1107  3 Co 2.70-2.96
Tb 0.8189 0.8706 0.6107  3 Co 2.70-2.96
Sc 0.3428 0.6214 0.6353  3 Co 2.50-2.58
Sc 0.3428 0.8786 0.1353  3 Co 2.50-2.58
Sc 0.6572 0.1214 0.8647  3 Co 2.50-2.58
Sc 0.6572 0.3786 0.3647  3 Co 2.50-2.58
Co 0.3457 0.6569 0.3676  3 Sc 2.50-2.58, 1 Co 2.70, 2 Tb 2.70-2.73
Co 0.3457 0.8431 0.8676  3 Sc 2.50-2.58, 1 Co 2.70, 2 Tb 2.70-2.73
Co 0.6543 0.1569 0.1324  3 Sc 2.50-2.58, 1 Co 2.70, 2 Tb 2.70-2.73
Co 0.6543 0.3431 0.6324  3 Sc 2.50-2.58, 1 Co 2.70, 2 Tb 2.70-2.73

Results
**V**: 272 Å³ per cell
**DFT formation energy**: -125 meV/atom
**ΔE to the lowest computed polymorph**: 62.1 meV per atom

# 10
The following is a DFT calculation (PBE-GGA) of MgIrRh after structural relaxation.

abc: 7.1633 6.9094 2.7626
angles: 83.90 73.56 22.55
With the nearest neighbours (Å) after each atom.
Element x y z (fractional)
Mg 0.0000 0.0000 0.0000  2 Rh 2.64, 2 Ir 2.67, 6 Mg 2.76-2.85
Ir 0.6669 0.6669 0.3331  2 Mg 2.67, 2 Rh 2.69, 6 Ir 2.76-2.85
Rh 0.3357 0.3357 0.6643  2 Mg 2.64, 2 Ir 2.69, 6 Rh 2.76-2.85

Results
**V**: 46 Å³ per cell
**DFT formation energy**: 11 meV/atom
**ΔE to the lowest computed polymorph**: 223.8 meV per atom

# 11
The following is a DFT calculation (PBE-GGA) of Pm2Tl2Sn after structural relaxation.

abc: 9.5399 9.5399 9.5399
angles: 154.76 154.76 35.99
With the nearest neighbours (Å) after each atom.
Element x y z (fractional)
Pm 0.0948 0.0948 0.0000  4 Sn 3.41, 1 Pm 3.44, 4 Tl 3.50
Pm 0.9052 0.9052 0.0000  4 Sn 3.41, 1 Pm 3.44, 4 Tl 3.50
Tl 0.2500 0.7500 0.5000  4 Tl 2.95
Tl 0.7500 0.2500 0.5000  4 Tl 2.95
Sn 0.5000 0.5000 0.0000  8 Pm 3.41

Results
**V**: 158 Å³ per cell
**DFT formation energy**: -161 meV/atom

# 12
The following is a DFT calculation (PBE-GGA) of KRb2Na2 after structural relaxation.

abc: 9.6356 9.6356 8.0148
angles: 101.99 101.99 26.45
With the nearest neighbours (Å) after each atom.
Element x y z (fractional)
K 0.0000 0.0000 0.0000  4 Na 4.18, 2 K 4.41
Rb 0.3705 0.3705 0.4365  4 Na 4.15-4.39, 2 Rb 4.41
Rb 0.6295 0.6295 0.5635  4 Na 4.15-4.39, 2 Rb 4.41
Na 0.3060 0.3060 0.9008  2 Na 3.64
Na 0.6940 0.6940 0.0992  2 Na 3.64

Results
**V**: 324 Å³ per cell
**DFT formation energy**: 41 meV/atom
**ΔE to the lowest computed polymorph**: 7.0 meV per atom

# 13
The following is a DFT calculation (PBE-GGA) of LaSc2Al after structural relaxation.

abc: 3.3858 4.8602 6.3681
angles: 90.00 104.37 90.00
With the nearest neighbours (Å) after each atom.
Element x y z (fractional)
La 0.0000 0.0000 0.0000  2 Al 3.21, 8 Sc 3.36-3.50, 2 La 3.39
Sc 0.3273 0.5000 0.7189  2 Al 2.93, 2 Sc 3.10-3.28
Sc 0.6727 0.5000 0.2811  2 Al 2.93, 2 Sc 3.10-3.28
Al 0.5000 0.0000 0.5000  4 Sc 2.93, 2 La 3.21

Results
**V**: 102 Å³ per cell
**DFT formation energy**: -84 meV/atom

# 14
The following is a DFT calculation (PBE-GGA) of TbYEr2Th after structural relaxation.

abc: 8.4397 6.3721 6.2891
angles: 90.00 97.37 90.00
With the nearest neighbours (Å) after each atom.
Element x y z (fractional)
Tb 0.0000 0.0000 0.0000  2 Tb 3.14, 2 Th 3.24, 2 Er 3.40
Tb 0.0000 0.0000 0.5000  2 Tb 3.14, 2 Th 3.24, 2 Er 3.40
Y 0.5000 0.1818 0.2500  8 Er 3.48-3.64
Y 0.5000 0.8182 0.7500  8 Er 3.48-3.64
Er 0.3122 0.3046 0.7114  1 Th 3.11, 1 Er 3.14, 1 Tb 3.40, 1 Y 3.48
Er 0.3122 0.6954 0.2114  1 Th 3.11, 1 Er 3.14, 1 Tb 3.40, 1 Y 3.48
Er 0.6878 0.3046 0.7886  1 Th 3.11, 1 Er 3.14, 1 Tb 3.40, 1 Y 3.48
Er 0.6878 0.6954 0.2886  1 Th 3.11, 1 Er 3.14, 1 Tb 3.40, 1 Y 3.48
Th 0.0000 0.4454 0.2500  2 Er 3.11, 2 Th 3.22, 2 Tb 3.24
Th 0.0000 0.5546 0.7500  2 Er 3.11, 2 Th 3.22, 2 Tb 3.24

Results
**V**: 335 Å³ per cell
**DFT formation energy**: 328 meV/atom

# 15
The following is a DFT calculation (PBE-GGA) of LiAg2Pd8 after structural relaxation.

abc: 7.4384 7.4384 6.3274
angles: 105.16 105.16 30.48
With the nearest neighbours (Å) after each atom.
Element x y z (fractional)
Li 0.0000 0.0000 0.0000  12 Pd 2.73-2.79
Ag 0.2729 0.2729 0.3625  2 Ag 2.81, 10 Pd 2.81-2.89
Ag 0.7271 0.7271 0.6375  2 Ag 2.81, 10 Pd 2.81-2.89
Pd 0.0872 0.0872 0.4451  8 Pd 2.74-2.88, 1 Li 2.75, 3 Ag 2.83-2.85
Pd 0.1792 0.1792 0.9097  8 Pd 2.77-2.91, 1 Li 2.78, 3 Ag 2.81-2.82
Pd 0.3692 0.3692 0.8269  2 Li 2.73, 7 Pd 2.75-2.91, 3 Ag 2.85-2.89
Pd 0.4550 0.4550 0.2713  9 Pd 2.74-2.83, 2 Li 2.79, 1 Ag 2.83
Pd 0.5450 0.5450 0.7287  9 Pd 2.74-2.83, 2 Li 2.79, 1 Ag 2.83
Pd 0.6308 0.6308 0.1731  2 Li 2.73, 7 Pd 2.75-2.91, 3 Ag 2.85-2.89
Pd 0.8208 0.8208 0.0903  8 Pd 2.77-2.91, 1 Li 2.78, 3 Ag 2.81-2.82
Pd 0.9128 0.9128 0.5549  8 Pd 2.74-2.88, 1 Li 2.75, 3 Ag 2.83-2.85

Results
**V**: 171 Å³ per cell
**DFT formation energy**: -89 meV/atom
**ΔE to the lowest computed polymorph**: 0.0 meV per atom

# 16
The following is a DFT calculation (PBE-GGA) of YSc12In3 after structural relaxation.

abc: 4.5434 4.5434 18.5450
angles: 90.00 90.00 90.00
With the nearest neighbours (Å) after each atom.
Element x y z (fractional)
Y 0.0000 0.0000 0.0000  12 Sc 3.21-3.36
Sc 0.0000 0.5000 0.1337  8 Sc 3.21-3.36, 2 In 3.22, 2 Y 3.36
Sc 0.0000 0.5000 0.3783  8 Sc 3.18-3.21, 4 In 3.20
Sc 0.0000 0.5000 0.6217  8 Sc 3.18-3.21, 4 In 3.20
Sc 0.0000 0.5000 0.8663  8 Sc 3.21-3.36, 2 In 3.22, 2 Y 3.36
Sc 0.5000 0.0000 0.1337  8 Sc 3.21-3.36, 2 In 3.22, 2 Y 3.36
Sc 0.5000 0.0000 0.3783  8 Sc 3.18-3.21, 4 In 3.20
Sc 0.5000 0.0000 0.6217  8 Sc 3.18-3.21, 4 In 3.20
Sc 0.5000 0.0000 0.8663  8 Sc 3.21-3.36, 2 In 3.22, 2 Y 3.36
Sc 0.5000 0.5000 0.0000  4 Y 3.21, 8 Sc 3.36
Sc 0.5000 0.5000 0.2581  8 Sc 3.18-3.24, 4 In 3.21
Sc 0.5000 0.5000 0.5000  8 Sc 3.20, 4 In 3.21
Sc 0.5000 0.5000 0.7419  8 Sc 3.18-3.24, 4 In 3.21
In 0.0000 0.0000 0.2568  12 Sc 3.20-3.22
In 0.0000 0.0000 0.5000  12 Sc 3.20-3.21
In 0.0000 0.0000 0.7432  12 Sc 3.20-3.22

Results
**V**: 383 Å³ per cell
**DFT formation energy**: -189 meV/atom

# 17
The following is a DFT calculation (PBE-GGA) of Mn21W2C6 after structural relaxation.

abc: 7.4037 7.4037 7.4037
angles: 60.00 60.00 60.00
With the nearest neighbours (Å) after each atom.
Element x y z (fractional)
Mn 0.0000 0.0000 0.0000  12 Mn 2.50
Mn 0.0000 0.0000 0.3373  2 C 2.08
Mn 0.0000 0.0000 0.6627  2 C 2.08
Mn 0.0000 0.3373 0.0000  2 C 2.08
Mn 0.0000 0.3373 0.6627  2 C 2.08
Mn 0.0000 0.6627 0.0000  2 C 2.08
Mn 0.0000 0.6627 0.3373  2 C 2.08
Mn 0.1528 0.6157 0.6157  3 C 2.07
Mn 0.3373 0.0000 0.0000  2 C 2.08
Mn 0.3373 0.0000 0.6627  2 C 2.08
Mn 0.3373 0.6627 0.0000  2 C 2.08
Mn 0.3843 0.3843 0.3843  3 C 2.07
Mn 0.3843 0.3843 0.8472  3 C 2.07
Mn 0.3843 0.8472 0.3843  3 C 2.07
Mn 0.6157 0.1528 0.6157  3 C 2.07
Mn 0.6157 0.6157 0.1528  3 C 2.07
Mn 0.6157 0.6157 0.6157  3 C 2.07
Mn 0.6627 0.0000 0.0000  2 C 2.08
Mn 0.6627 0.0000 0.3373  2 C 2.08
Mn 0.6627 0.3373 0.0000  2 C 2.08
Mn 0.8472 0.3843 0.3843  3 C 2.07
W 0.2500 0.2500 0.2500  4 Mn 2.44
W 0.7500 0.7500 0.7500  4 Mn 2.44
C 0.2740 0.2740 0.7260  8 Mn 2.07-2.08
C 0.2740 0.7260 0.2740  8 Mn 2.07-2.08
C 0.2740 0.7260 0.7260  8 Mn 2.07-2.08
C 0.7260 0.2740 0.2740  8 Mn 2.07-2.08
C 0.7260 0.2740 0.7260  8 Mn 2.07-2.08
C 0.7260 0.7260 0.2740  8 Mn 2.07-2.08

Results
**V**: 287 Å³ per cell
**DFT formation energy**: -101 meV/atom

| no. | E (eV per atom) | D(E_F) (states/eV/cell) |
| --- | --- | --- |
| 1 | -4.451 | 6.795 |
| 2 | -2.392 | 2.084 |
| 3 | -2.937 | 5.231 |
| 4 | -3.014 | 6.068 |
| 5 | -4.484 | 0.000 |
| 6 | -6.377 | 7.962 |
| 7 | -3.699 | 3.472 |
| 8 | -4.355 | 1.695 |
| 9 | -6.148 | 11.716 |
| 10 | -5.924 | 3.911 |
| 11 | -3.808 | 6.349 |
| 12 | -1.094 | 2.837 |
| 13 | -5.417 | 5.705 |
| 14 | -5.200 | 12.933 |
| 15 | -4.558 | 16.235 |
| 16 | -5.855 | 24.842 |
| 17 | -9.543 | 24.386 |